Entry 1:
Below is a relaxed structure of BaScOs2, with properties calculated at the PBE-GGA level.

Its density of states at the Fermi level is 3.00 states/eV per cell. The calculation puts the polymorph energy (0 for the lowest one) at 0.00 eV per formula unit. The volume is 28.19 Å³/atom. For the energy relative to the elements, the calculation gives 0.1334 eV per atom.

a b c (Å): 7.395 7.395 7.395
angles (deg): 34.01 34.01 34.01
Positions (direct):
Ba1 0.000 0.000 0.000
Sc1 0.819 0.819 0.819
Os1 0.218 0.218 0.218
Os2 0.545 0.545 0.545

Entry 2:
Below is a relaxed structure of Pm7Si4O, with properties calculated at the PBE-GGA level.

Its density of states at the Fermi level is 6.76 states/eV per cell. The volume is 26.78 Å³/atom. The calculation puts the formation energy from raw total energies at -0.86 eV per atom.

a b c (Å): 8.151 8.151 10.677
angles (deg): 126.10 126.10 35.18
Positions (direct):
Pm1 0.000 0.000 0.000
Pm2 0.137 0.137 0.543
Pm3 0.290 0.290 0.147
Pm4 0.428 0.428 0.738
Pm5 0.572 0.572 0.262
Pm6 0.710 0.710 0.853
Pm7 0.863 0.863 0.457
Si1 0.081 0.081 0.790
Si2 0.221 0.221 0.344
Si3 0.779 0.779 0.656
Si4 0.919 0.919 0.210
O1 0.500 0.500 0.000

Entry 3:
Below is a relaxed structure of TaRe4, with properties calculated at the PBE-GGA level.

Its density of states at the Fermi level is 5.50 states/eV per cell. The calculation puts the polymorph energy (0 for the lowest one) at 8.80 eV per formula unit. The volume is 19.41 Å³/atom. For the energy relative to the elements, the calculation gives 1.8148 eV per atom.

a b c (Å): 5.014 5.014 5.014
angles (deg): 109.47 109.47 109.47
Positions (direct):
Ta1 0.000 0.000 0.000
Re1 0.000 0.000 0.500
Re2 0.000 0.500 0.000
Re3 0.500 0.000 0.000
Re4 0.500 0.500 0.500

Entry 4:
Below is a relaxed structure of Pr2DyCd, with properties calculated at the PBE-GGA level.

Its density of states at the Fermi level is 5.81 states/eV per cell. The calculation puts the polymorph energy (0 for the lowest one) at 0.40 eV per formula unit. The volume is 30.97 Å³/atom. For the energy relative to the elements, the calculation gives -0.0461 eV per atom.

a b c (Å): 5.595 5.595 5.595
angles (deg): 60.00 60.00 60.00
Positions (direct):
Pr1 0.250 0.250 0.250
Pr2 0.750 0.750 0.750
Dy1 0.000 0.000 0.000
Cd1 0.500 0.500 0.500

Entry 5:
Below is a relaxed structure of CsCuBr2F8, with properties calculated at the PBE-GGA level.

Its density of states at the Fermi level is 7.25 states/eV per cell. The volume is 19.41 Å³/atom. The calculation puts the formation energy from raw total energies at -1.28 eV per atom.

a b c (Å): 6.321 6.321 7.475
angles (deg): 109.44 109.44 57.46
Positions (direct):
Cs1 0.000 0.000 0.000
Cu1 0.500 0.500 0.500
Br1 0.242 0.242 0.671
Br2 0.758 0.758 0.329
F1 0.241 0.241 0.414
F2 0.260 0.260 0.931
F3 0.289 0.703 0.329
F4 0.297 0.711 0.671
F5 0.703 0.289 0.329
F6 0.711 0.297 0.671
F7 0.740 0.740 0.069
F8 0.759 0.759 0.586

Entry 6:
Below is a relaxed structure of SrAsCl2, with properties calculated at the PBE-GGA level.

Its density of states at the Fermi level is 2.18 states/eV per cell. The calculation puts the polymorph energy (0 for the lowest one) at 0.72 eV per formula unit. The volume is 30.95 Å³/atom. The calculation puts the formation energy from raw total energies at -1.02 eV per atom.

a b c (Å): 4.662 4.662 5.694
angles (deg): 90.00 90.00 90.00
Positions (direct):
Sr1 0.000 0.000 0.000
As1 0.500 0.500 0.120
Cl1 0.000 0.000 0.493
Cl2 0.500 0.500 0.722